No. 1
This record from Alexandria via LeMat-Bulk describes Rb5RuO5 after structural relaxation. The functional is GGA-PBE.

```
11
Lattice="6.156 -2.702 0.000 6.156 2.702 0.000 -2.352 0.000 7.117" Properties=species:S:1:pos:R:3 pbc="T T T"
Rb 0.000 0.000 0.000
Rb 3.514 0.000 1.440
Rb 2.512 0.000 4.687
Rb 7.448 0.000 2.430
Rb 6.446 0.000 5.678
Ru -1.176 0.000 3.559
O -0.307 0.000 5.314
O 0.573 0.000 2.682
O 4.980 0.000 3.559
O 9.386 0.000 4.435
O 10.267 0.000 1.803
```

Output
SG: C2/m
M_tot (μB per formula unit): 2.586

---

No. 2
This record from Alexandria via LeMat-Bulk describes RbRu4O8 after structural relaxation. The functional is GGA-PBE.

```
13
Lattice="-5.032 5.032 1.597 5.032 -5.032 1.597 5.032 5.032 -1.597" Properties=species:S:1:pos:R:3 pbc="T T T"
Rb 0.000 0.000 0.000
Ru 6.692 1.489 0.000
Ru 1.489 3.372 0.000
Ru 3.543 1.660 1.597
Ru -1.660 3.543 1.597
O 3.467 0.459 0.000
O 3.486 2.980 0.000
O 4.573 -1.565 1.597
O 2.052 -1.545 1.597
O 2.980 6.577 0.000
O 0.459 6.597 0.000
O 1.545 2.052 1.597
O 1.565 4.573 1.597
```

Output
SG: I4/m
M_tot (μB per formula unit): 0.000

---

No. 3
This record from Alexandria via LeMat-Bulk describes RbRu2O2 after structural relaxation. The functional is GGA-PBE.

```
5
Lattice="-1.843 1.843 6.234 1.843 -1.843 6.234 1.843 1.843 -6.234" Properties=species:S:1:pos:R:3 pbc="T T T"
Rb 0.000 0.000 0.000
Ru 1.843 0.000 3.117
Ru 0.000 1.843 3.117
O 0.000 0.000 4.276
O 0.000 0.000 8.191
```

Output
SG: I4/mmm
M_tot (μB per formula unit): 0.000
Offset from the most stable computed form (meV/atom): 172.3

---

No. 4
This record from Alexandria via LeMat-Bulk describes RbRu2O8 after structural relaxation. The functional is GGA-PBE.

```
11
Lattice="4.699 0.000 0.000 0.000 4.699 0.000 0.000 0.000 7.239" Properties=species:S:1:pos:R:3 pbc="T T T"
Rb 0.000 0.000 0.000
Ru 0.000 2.350 3.619
Ru 2.350 0.000 3.619
O 1.177 1.177 2.441
O 1.177 1.177 4.797
O 1.177 3.522 2.441
O 1.177 3.522 4.797
O 3.522 1.177 2.441
O 3.522 1.177 4.797
O 3.522 3.522 2.441
O 3.522 3.522 4.797
```

Output
SG: P4/mmm
M_tot (μB per formula unit): 4.214
Offset from the most stable computed form (meV/atom): 602.9

---

No. 5
This record from Alexandria via LeMat-Bulk describes RbRuO4 after structural relaxation. The functional is GGA-PBE.

```
24
Lattice="9.595 0.000 0.000 0.000 6.362 0.000 0.000 0.000 8.018" Properties=species:S:1:pos:R:3 pbc="T T T"
Rb 1.704 1.590 1.268
Rb 3.094 4.771 5.277
Rb 6.501 1.590 2.741
Rb 7.891 4.771 6.750
Ru 0.603 1.590 5.484
Ru 4.194 4.771 1.475
Ru 5.401 1.590 6.543
Ru 8.992 4.771 2.534
O 0.762 0.155 6.485
O 0.762 3.026 6.485
O 0.975 4.771 3.290
O 1.863 1.590 4.271
O 2.934 4.771 0.262
O 3.822 1.590 7.298
O 4.036 3.336 2.476
O 4.036 6.207 2.476
O 5.559 0.155 5.542
O 5.559 3.026 5.542
O 5.773 4.771 0.719
O 6.661 1.590 7.756
O 7.732 4.771 3.747
O 8.620 1.590 4.728
O 8.833 3.336 1.533
O 8.833 6.207 1.533
```

Output
SG: Pnma
M_tot (μB per formula unit): 1.024

---

No. 6
This record from Alexandria via LeMat-Bulk describes Rb4RuO4 after structural relaxation. The functional is GGA-PBE.

```
9
Lattice="-4.167 4.167 2.860 4.167 -4.167 2.860 4.167 4.167 -2.860" Properties=species:S:1:pos:R:3 pbc="T T T"
Rb 5.896 0.878 0.000
Rb 0.878 2.439 0.000
Rb 3.289 1.729 2.860
Rb -1.729 3.289 2.860
Ru 0.000 0.000 2.860
O 3.608 2.326 0.000
O 1.842 -0.559 2.860
O 2.326 4.727 0.000
O 0.559 1.842 2.860
```

Output
SG: I4/m
M_tot (μB per formula unit): 2.000
Offset from the most stable computed form (meV/atom): 0.0

---

We obtain formation energy (no corrections) values of -1.00 -1.04 -0.13 -0.29 -1.11 -1.18 eV/atom for the records listed above, in that order.